# RbSc PBE optimized geometry
# DOS at the Fermi energy in states/eV/atom: 1.41
# Total magnetic moment in μB per formula unit: 0.00
# Formation energy from the elements in meV/atom: 1465
data_RbSc
_cell_length_a 7.249
_cell_length_b 7.249
_cell_length_c 7.249
_cell_angle_alpha 90.00
_cell_angle_beta 90.00
_cell_angle_gamma 90.00
_symmetry_space_group_name_H-M 'F m -3 m'
_symmetry_Int_Tables_number 225
_symmetry_space_group_name_Hall '-F 4 2 3'
loop_
_atom_site_label
_atom_site_type_symbol
_atom_site_fract_x
_atom_site_fract_y
_atom_site_fract_z
_atom_site_occupancy
Rb1 Rb 0.000 0.000 0.000 1
Sc1 Sc 0.000 0.000 0.500 1



# Er5Sb2Pd PBE optimized geometry
# DOS at the Fermi energy in states/eV/atom: 0.67
# Raw formation energy in eV per atom: -0.4755
# Total magnetic moment in μB per formula unit: 0.01
data_Er5Sb2Pd
_cell_length_a 5.753
_cell_length_b 11.972
_cell_length_c 13.738
_cell_angle_alpha 90.00
_cell_angle_beta 90.00
_cell_angle_gamma 90.00
_symmetry_space_group_name_H-M 'C m c m'
_symmetry_Int_Tables_number 63
_symmetry_space_group_name_Hall '-C 2c 2'
loop_
_atom_site_label
_atom_site_type_symbol
_atom_site_fract_x
_atom_site_fract_y
_atom_site_fract_z
_atom_site_occupancy
Er1 Er 0.000 0.064 0.105 1
Er2 Er 0.000 0.365 0.750 1
Er3 Er 0.000 0.377 0.065 1
Sb1 Sb 0.000 0.193 0.595 1
Pd1 Pd 0.000 0.223 0.250 1



# Pm3Cd3Ga8 PBE optimized geometry
# DOS at the Fermi energy in states/eV/atom: 0.40
# Total magnetic moment in μB per formula unit: 0.00
# Formation energy from the elements in meV/atom: -429
data_Pm3Cd3Ga8
_cell_length_a 4.327
_cell_length_b 10.255
_cell_length_c 13.294
_cell_angle_alpha 90.00
_cell_angle_beta 90.00
_cell_angle_gamma 90.00
_symmetry_space_group_name_H-M 'I m m m'
_symmetry_Int_Tables_number 71
_symmetry_space_group_name_Hall '-I 2 2'
loop_
_atom_site_label
_atom_site_type_symbol
_atom_site_fract_x
_atom_site_fract_y
_atom_site_fract_z
_atom_site_occupancy
Pm1 Pm 0.000 0.000 0.000 1
Pm2 Pm 0.000 0.000 0.307 1
Cd1 Cd 0.000 0.212 0.500 1
Cd2 Cd 0.000 0.500 0.000 1
Ga1 Ga 0.000 0.274 0.151 1
Ga2 Ga 0.000 0.375 0.339 1



# ErScCl6 PBE optimized geometry
# DOS at the Fermi energy in states/eV/atom: 0.00
# Raw formation energy in eV per atom: -2.1599
# Energy above the most stable polymorph in this dataset in kJ/mol of formula units: 0
# Total magnetic moment in μB per formula unit: 0.00
data_ErScCl6
_cell_length_a 6.381
_cell_length_b 12.641
_cell_length_c 6.381
_cell_angle_alpha 90.00
_cell_angle_beta 106.69
_cell_angle_gamma 90.00
_symmetry_space_group_name_H-M 'C 1 2/m 1'
_symmetry_Int_Tables_number 12
_symmetry_space_group_name_Hall '-C 2y'
loop_
_atom_site_label
_atom_site_type_symbol
_atom_site_fract_x
_atom_site_fract_y
_atom_site_fract_z
_atom_site_occupancy
Er1 Er 0.000 0.000 0.000 1
Sc1 Sc 0.000 0.500 0.500 1
Cl1 Cl 0.239 0.363 0.740 1
Cl2 Cl 0.246 0.500 0.256 1



# V2CdNi PBE optimized geometry
# DOS at the Fermi energy in states/eV/atom: 1.04
# Total magnetic moment in μB per formula unit: 0.00
# Formation energy from the elements in meV/atom: 527
data_V2CdNi
_cell_length_a 7.031
_cell_length_b 7.031
_cell_length_c 5.023
_cell_angle_alpha 90.00
_cell_angle_beta 90.00
_cell_angle_gamma 90.00
_symmetry_space_group_name_H-M 'I -4 2 d'
_symmetry_Int_Tables_number 122
_symmetry_space_group_name_Hall 'I -4 2bw'
loop_
_atom_site_label
_atom_site_type_symbol
_atom_site_fract_x
_atom_site_fract_y
_atom_site_fract_z
_atom_site_occupancy
V1 V 0.205 0.750 0.125 1
Cd1 Cd 0.000 0.000 0.500 1
Ni1 Ni 0.000 0.000 0.000 1



# LiNdTe PBE optimized geometry
# DOS at the Fermi energy in states/eV/atom: 0.50
# Raw formation energy in eV per atom: -0.7592
# Energy above the most stable polymorph in this dataset in kJ/mol of formula units: 66
# Total magnetic moment in μB per formula unit: 0.68
data_LiNdTe
_cell_length_a 7.505
_cell_length_b 4.225
_cell_length_c 11.665
_cell_angle_alpha 90.00
_cell_angle_beta 99.13
_cell_angle_gamma 90.00
_symmetry_space_group_name_H-M 'C 1 2/m 1'
_symmetry_Int_Tables_number 12
_symmetry_space_group_name_Hall '-C 2y'
loop_
_atom_site_label
_atom_site_type_symbol
_atom_site_fract_x
_atom_site_fract_y
_atom_site_fract_z
_atom_site_occupancy
Li1 Li 0.105 0.000 0.392 1
Nd1 Nd 0.196 0.500 0.128 1
Te1 Te 0.089 0.500 0.689 1



> Look up the total magnetic moment of the first one.

0.00 μB per formula unit



What did the fifth record say?
# V2CdNi PBE optimized geometry
# DOS at the Fermi energy in states/eV/atom: 1.04
# Total magnetic moment in μB per formula unit: 0.00
# Formation energy from the elements in meV/atom: 527
data_V2CdNi
_cell_length_a 7.031
_cell_length_b 7.031
_cell_length_c 5.023
_cell_angle_alpha 90.00
_cell_angle_beta 90.00
_cell_angle_gamma 90.00
_symmetry_space_group_name_H-M 'I -4 2 d'
_symmetry_Int_Tables_number 122
_symmetry_space_group_name_Hall 'I -4 2bw'
loop_
_atom_site_label
_atom_site_type_symbol
_atom_site_fract_x
_atom_site_fract_y
_atom_site_fract_z
_atom_site_occupancy
V1 V 0.205 0.750 0.125 1
Cd1 Cd 0.000 0.000 0.500 1
Ni1 Ni 0.000 0.000 0.000 1